Here is a relaxed structure of LaY2O from Alexandria via LeMat-Bulk. Energies are from PBE-GGA.

Unit cell a=3.492 b=3.492 c=28.667 alpha=90.00 beta=90.00 gamma=120.00
Element x y z (fractional)
1 La 0.000 0.000 0.000
2 La 0.333 0.667 0.667
3 La 0.667 0.333 0.333
4 Y 0.000 0.000 0.120
5 Y 0.000 0.000 0.880
6 Y 0.333 0.667 0.546
7 Y 0.333 0.667 0.787
8 Y 0.667 0.333 0.213
9 Y 0.667 0.333 0.454
10 O 0.000 0.000 0.500
11 O 0.333 0.667 0.167
12 O 0.667 0.333 0.833

The calculation puts the uncorrected formation energy at -1.238 eV per atom. The total moment comes out at 0.00 μB per cell. For the total energy, the calculation gives -6.94 eV per atom.